Entry 1:
A geometry-optimized NaHfAgTe3 structure. Source: OQMD, functional PBE-GGA.

Output
* space-group type: Pnma, No. 62
* offset from the most stable computed form: 0.29 eV/f.u.

a = 11.2463 Å, b = 4.1122 Å, c = 14.5296 Å
α = 90.00°, β = 90.00°, γ = 90.00°
Sites, in units of the cell vectors:
Na 0.2354 0.2500 0.0179
Na 0.2646 0.7500 0.5179
Na 0.7354 0.2500 0.4821
Na 0.7646 0.7500 0.9821
Hf 0.0343 0.7500 0.7527
Hf 0.4657 0.2500 0.2527
Hf 0.5343 0.7500 0.7473
Hf 0.9657 0.2500 0.2473
Ag 0.2422 0.7500 0.2070
Ag 0.2578 0.2500 0.7070
Ag 0.7422 0.7500 0.2930
Ag 0.7578 0.2500 0.7930
Te 0.0298 0.7500 0.1136
Te 0.0497 0.2500 0.6101
Te 0.2355 0.2500 0.3370
Te 0.2645 0.7500 0.8370
Te 0.4503 0.7500 0.1101
Te 0.4702 0.2500 0.6136
Te 0.5298 0.7500 0.3864
Te 0.5497 0.2500 0.8899
Te 0.7355 0.2500 0.1630
Te 0.7645 0.7500 0.6630
Te 0.9503 0.7500 0.3899
Te 0.9702 0.2500 0.8864



Entry 2:
A geometry-optimized Ho2ErFe8Co structure. Source: OQMD, functional PBE-GGA.

Output
* space-group type: R-3m, No. 166
* total DFT energy (no corrections): -7.3908 eV/atom

a = 8.5543 Å, b = 8.5543 Å, c = 8.5543 Å
α = 34.29°, β = 34.29°, γ = 34.29°
Sites, in units of the cell vectors:
Ho 0.1418 0.1418 0.1418
Ho 0.8582 0.8582 0.8582
Er 0.0000 0.0000 0.0000
Fe 0.0813 0.5816 0.5816
Fe 0.3328 0.3328 0.3328
Fe 0.4184 0.4184 0.9187
Fe 0.4184 0.9187 0.4184
Fe 0.5816 0.0813 0.5816
Fe 0.5816 0.5816 0.0813
Fe 0.6672 0.6672 0.6672
Fe 0.9187 0.4184 0.4184
Co 0.5000 0.5000 0.5000



Entry 3:
A geometry-optimized TbHfTeC structure. Source: OQMD, functional PBE-GGA.

Output
* space-group type: P-3m1, No. 164
* offset from the most stable computed form: 0.10 eV/f.u.

a = 3.6499 Å, b = 3.6499 Å, c = 13.8021 Å
α = 90.00°, β = 90.00°, γ = 120.00°
Sites, in units of the cell vectors:
Tb 0.3333 0.6667 0.0970
Tb 0.6667 0.3333 0.9030
Hf 0.3333 0.6667 0.4174
Hf 0.6667 0.3333 0.5826
Te 0.3333 0.6667 0.7307
Te 0.6667 0.3333 0.2693
C 0.0000 0.0000 0.0000
C 0.0000 0.0000 0.5000



Entry 4:
A geometry-optimized TbZr2 structure. Source: OQMD, functional PBE-GGA.

Output
* space-group type: Cmcm, No. 63
* total DFT energy (no corrections): -7.1911 eV/atom

a = 8.9365 Å, b = 8.9365 Å, c = 5.3208 Å
α = 90.00°, β = 90.00°, γ = 158.62°
Sites, in units of the cell vectors:
Tb 0.0581 0.9419 0.7500
Tb 0.9419 0.0581 0.2500
Zr 0.2747 0.7253 0.2500
Zr 0.3765 0.6235 0.7500
Zr 0.6235 0.3765 0.2500
Zr 0.7253 0.2747 0.7500



Entry 5:
A geometry-optimized Sc2B6Os structure. Source: OQMD, functional PBE-GGA.

Output
* space-group type: Pbam, No. 55
* total DFT energy (no corrections): -7.8584 eV/atom

a = 8.8560 Å, b = 11.1670 Å, c = 3.4935 Å
α = 90.00°, β = 90.00°, γ = 90.00°
Sites, in units of the cell vectors:
Sc 0.0558 0.1262 0.0000
Sc 0.1825 0.4139 0.0000
Sc 0.3175 0.9139 0.0000
Sc 0.4442 0.6262 0.0000
Sc 0.5558 0.3738 0.0000
Sc 0.6825 0.0861 0.0000
Sc 0.8175 0.5861 0.0000
Sc 0.9442 0.8738 0.0000
B 0.0207 0.2870 0.5000
B 0.0533 0.5648 0.5000
B 0.1019 0.9720 0.5000
B 0.1298 0.8177 0.5000
B 0.2063 0.2356 0.5000
B 0.2481 0.0783 0.5000
B 0.2519 0.5783 0.5000
B 0.2937 0.7356 0.5000
B 0.3702 0.3177 0.5000
B 0.3981 0.4720 0.5000
B 0.4467 0.0648 0.5000
B 0.4793 0.7870 0.5000
B 0.5207 0.2130 0.5000
B 0.5533 0.9352 0.5000
B 0.6019 0.5280 0.5000
B 0.6298 0.6823 0.5000
B 0.7063 0.2644 0.5000
B 0.7481 0.4217 0.5000
B 0.7519 0.9217 0.5000
B 0.7937 0.7644 0.5000
B 0.8702 0.1823 0.5000
B 0.8981 0.0280 0.5000
B 0.9467 0.4352 0.5000
B 0.9793 0.7130 0.5000
Os 0.1381 0.6794 0.0000
Os 0.3619 0.1794 0.0000
Os 0.6381 0.8206 0.0000
Os 0.8619 0.3206 0.0000



Entry 6:
A geometry-optimized Al2GaAu2 structure. Source: OQMD, functional PBE-GGA.

Output
* space-group type: I4/mmm, No. 139
* total DFT energy (no corrections): -3.4996 eV/atom

a = 6.4028 Å, b = 6.4028 Å, c = 6.4028 Å
α = 141.67°, β = 141.67°, γ = 55.32°
Sites, in units of the cell vectors:
Al 0.1130 0.1130 0.0000
Al 0.8870 0.8870 0.0000
Ga 0.5000 0.5000 0.0000
Au 0.2500 0.7500 0.5000
Au 0.7500 0.2500 0.5000



Entry 7:
A geometry-optimized SrAg2F8 structure. Source: OQMD, functional PBE-GGA.

Output
* space-group type: I422, No. 97
* offset from the most stable computed form: 0.00 eV/f.u.

a = 6.6468 Å, b = 6.6468 Å, c = 6.6468 Å
α = 131.98°, β = 131.98°, γ = 70.26°
Sites, in units of the cell vectors:
Sr 0.0000 0.0000 0.0000
Ag 0.2500 0.7500 0.5000
Ag 0.7500 0.2500 0.5000
F 0.0633 0.5530 0.8691
F 0.1942 0.0633 0.5103
F 0.3161 0.4470 0.5103
F 0.4470 0.9367 0.1309
F 0.5530 0.6839 0.4897
F 0.6839 0.1942 0.1309
F 0.8058 0.3161 0.8691
F 0.9367 0.8058 0.4897



Entry 8:
A geometry-optimized DyLu3P structure. Source: OQMD, functional PBE-GGA.

Output
* space-group type: Pm-3m, No. 221
* total DFT energy (no corrections): -5.0805 eV/atom

a = 5.2608 Å, b = 5.2608 Å, c = 5.2608 Å
α = 90.00°, β = 90.00°, γ = 90.00°
Sites, in units of the cell vectors:
Dy 0.0000 0.0000 0.0000
Lu 0.0000 0.5000 0.5000
Lu 0.5000 0.0000 0.5000
Lu 0.5000 0.5000 0.0000
P 0.5000 0.5000 0.5000